No. 1
Density functional theory data (GGA-PBEsol) for a relaxed Li2GeIrCl crystal.

Lattice parameters (Å, degrees): 4.598 4.810 4.810 90.00 90.00 90.00
Element x y z (fractional)
Li1 0.000 0.500 0.000
Li2 0.000 0.000 0.500
Ir1 0.000 0.000 0.000
Ge1 0.500 0.000 0.000
Cl1 0.500 0.500 0.500

## Properties
Energy relative to the elements, uncorrected, eV per atom: -0.1228


No. 2
Density functional theory data (GGA-PBEsol) for a relaxed GePIrCl2 crystal.

Lattice parameters (Å, degrees): 4.490 4.826 4.826 90.00 90.00 90.00
Element x y z (fractional)
Cl1 0.000 0.000 0.500
Cl2 0.000 0.500 0.000
Ge1 0.500 0.500 0.500
Ir1 0.000 0.000 0.000
P1 0.500 0.000 0.000

## Properties
Energy relative to the elements, uncorrected, eV per atom: 0.3947


No. 3
Density functional theory data (GGA-PBEsol) for a relaxed KGeCl3 crystal.

Lattice parameters (Å, degrees): 7.331 7.331 7.331 61.20 61.20 61.20
Element x y z (fractional)
Cl1 0.811 0.646 0.283
Cl2 0.646 0.283 0.811
Cl3 0.311 0.783 0.146
Cl4 0.783 0.146 0.311
Cl5 0.283 0.811 0.646
Cl6 0.146 0.311 0.783
Ge1 0.505 0.505 0.505
Ge2 0.005 0.005 0.005
K1 0.726 0.726 0.726
K2 0.226 0.226 0.226

## Properties
Energy relative to the elements, uncorrected, eV per atom: -1.2722


No. 4
Density functional theory data (GGA-PBEsol) for a relaxed KGePCl2 crystal.

Lattice parameters (Å, degrees): 4.787 5.215 5.215 90.00 90.00 90.00
Element x y z (fractional)
Ge1 0.000 0.000 0.000
K1 0.500 0.500 0.500
P1 0.500 0.000 0.000
Cl1 0.000 0.500 0.000
Cl2 0.000 0.000 0.500

## Properties
Energy relative to the elements, uncorrected, eV per atom: -0.4996


No. 5
Density functional theory data (GGA-PBEsol) for a relaxed La2GeNCl crystal.

Lattice parameters (Å, degrees): 3.881 5.414 5.414 90.00 90.00 90.00
Element x y z (fractional)
N1 0.500 0.000 0.000
Cl1 0.000 0.000 0.000
Ge1 0.500 0.500 0.500
La1 0.000 0.500 0.000
La2 0.000 0.000 0.500

## Properties
Energy relative to the elements, uncorrected, eV per atom: -0.1322


No. 6
Density functional theory data (GGA-PBEsol) for a relaxed LiGe3Cl crystal.

Lattice parameters (Å, degrees): 4.947 4.947 4.947 90.00 90.00 90.00
Element x y z (fractional)
Li1 0.500 0.500 0.500
Ge1 0.000 0.000 0.500
Ge2 0.000 0.500 0.000
Ge3 0.500 0.000 0.000
Cl1 0.000 0.000 0.000

## Properties
Energy relative to the elements, uncorrected, eV per atom: 0.5607


No. 7
Density functional theory data (GGA-PBEsol) for a relaxed Li2GeCl crystal.

Lattice parameters (Å, degrees): 5.847 5.847 5.847 103.66 112.45 112.45
Element x y z (fractional)
Ge1 0.000 0.000 0.000
Ge2 0.500 0.750 0.250
Cl1 0.000 0.500 0.500
Cl2 0.500 0.250 0.750
Li1 0.051 0.176 0.625
Li2 0.449 0.875 0.824
Li3 0.551 0.375 0.426
Li4 0.949 0.574 0.125

## Properties
Energy relative to the elements, uncorrected, eV per atom: -0.5879


No. 8
Density functional theory data (GGA-PBEsol) for a relaxed Li3GeCl crystal.

Lattice parameters (Å, degrees): 4.502 4.502 4.502 90.00 90.00 90.00
Element x y z (fractional)
Li1 0.000 0.000 0.500
Li2 0.000 0.500 0.000
Li3 0.500 0.000 0.000
Ge1 0.500 0.500 0.500
Cl1 0.000 0.000 0.000

## Properties
Energy relative to the elements, uncorrected, eV per atom: -0.5734


No. 9
Density functional theory data (GGA-PBEsol) for a relaxed Li2NbGeCl crystal.

Lattice parameters (Å, degrees): 4.745 5.661 5.661 90.00 90.00 90.00
Element x y z (fractional)
Cl1 0.500 0.500 0.500
Ge1 0.500 0.000 0.000
Nb1 0.000 0.000 0.000
Li1 0.000 0.000 0.500
Li2 0.000 0.500 0.000

## Properties
Energy relative to the elements, uncorrected, eV per atom: 0.8085


No. 10
Density functional theory data (GGA-PBEsol) for a relaxed LiGeS2Cl crystal.

Lattice parameters (Å, degrees): 4.637 4.637 5.117 90.00 90.00 90.00
Element x y z (fractional)
Ge1 0.000 0.000 0.000
S1 0.000 0.500 0.000
S2 0.500 0.000 0.000
Cl1 0.000 0.000 0.500
Li1 0.500 0.500 0.500

## Properties
Energy relative to the elements, uncorrected, eV per atom: -0.3379
Energy above the most stable polymorph in this dataset, meV/atom: 0


No. 11
Density functional theory data (GGA-PBEsol) for a relaxed MgGeCl2 crystal.

Lattice parameters (Å, degrees): 4.819 4.819 4.819 60.00 60.00 60.00
Element x y z (fractional)
Ge1 0.500 0.500 0.500
Cl1 0.250 0.250 0.250
Cl2 0.750 0.750 0.750
Mg1 0.000 0.000 0.000

## Properties
Energy relative to the elements, uncorrected, eV per atom: -0.3238


No. 12
Density functional theory data (GGA-PBEsol) for a relaxed RbMnGeCl2 crystal.

Lattice parameters (Å, degrees): 5.635 5.635 6.002 90.00 90.00 90.00
Element x y z (fractional)
Rb1 0.000 0.000 0.000
Cl1 0.000 0.500 0.000
Cl2 0.500 0.000 0.000
Mn1 0.000 0.000 0.500
Ge1 0.500 0.500 0.500

## Properties
Energy relative to the elements, uncorrected, eV per atom: 0.7053


No. 13
Density functional theory data (GGA-PBEsol) for a relaxed MnGeS2Cl crystal.

Lattice parameters (Å, degrees): 4.483 4.614 4.614 90.00 90.00 90.00
Element x y z (fractional)
S1 0.000 0.500 0.000
S2 0.000 0.000 0.500
Mn1 0.000 0.000 0.000
Ge1 0.500 0.500 0.500
Cl1 0.500 0.000 0.000

## Properties
Energy relative to the elements, uncorrected, eV per atom: -0.0867


No. 14
Density functional theory data (GGA-PBEsol) for a relaxed Ge2MoCl crystal.

Lattice parameters (Å, degrees): 4.639 4.639 4.639 60.00 60.00 60.00
Element x y z (fractional)
Cl1 0.000 0.000 0.000
Mo1 0.500 0.500 0.500
Ge1 0.750 0.750 0.750
Ge2 0.250 0.250 0.250

## Properties
Energy relative to the elements, uncorrected, eV per atom: 0.8001


No. 15
Density functional theory data (GGA-PBEsol) for a relaxed GeN2Cl crystal.

Lattice parameters (Å, degrees): 3.968 3.968 3.968 60.00 60.00 60.00
Element x y z (fractional)
N1 0.750 0.750 0.750
N2 0.250 0.250 0.250
Ge1 0.500 0.500 0.500
Cl1 0.000 0.000 0.000

## Properties
Energy relative to the elements, uncorrected, eV per atom: 1.9888


No. 16
Density functional theory data (GGA-PBEsol) for a relaxed Ge2NClO crystal.

Lattice parameters (Å, degrees): 3.935 4.404 4.404 90.00 90.00 90.00
Element x y z (fractional)
O1 0.500 0.500 0.500
N1 0.000 0.000 0.000
Ge1 0.000 0.500 0.000
Ge2 0.000 0.000 0.500
Cl1 0.500 0.000 0.000

## Properties
Energy relative to the elements, uncorrected, eV per atom: 0.7576


No. 17
Density functional theory data (GGA-PBEsol) for a relaxed GeSNCl2 crystal.

Lattice parameters (Å, degrees): 4.674 4.870 4.870 90.00 90.00 90.00
Element x y z (fractional)
Cl1 0.000 0.500 0.000
Cl2 0.000 0.000 0.500
S1 0.500 0.000 0.000
N1 0.500 0.500 0.500
Ge1 0.000 0.000 0.000

## Properties
Energy relative to the elements, uncorrected, eV per atom: 0.9586


No. 18
Density functional theory data (GGA-PBEsol) for a relaxed GeS2NCl crystal.

Lattice parameters (Å, degrees): 3.448 4.834 4.834 90.00 90.00 90.00
Element x y z (fractional)
N1 0.500 0.000 0.000
Cl1 0.000 0.000 0.000
S1 0.000 0.500 0.000
S2 0.000 0.000 0.500
Ge1 0.500 0.500 0.500

## Properties
Energy relative to the elements, uncorrected, eV per atom: 1.3524


No. 19
Density functional theory data (GGA-PBEsol) for a relaxed GeSeN2Cl crystal.

Lattice parameters (Å, degrees): 3.673 3.673 5.889 90.00 90.00 90.00
Element x y z (fractional)
Cl1 0.500 0.500 0.500
Se1 0.000 0.000 0.500
Ge1 0.000 0.000 0.000
N1 0.500 0.000 0.000
N2 0.000 0.500 0.000

## Properties
Energy relative to the elements, uncorrected, eV per atom: 1.1056


No. 20
Density functional theory data (GGA-PBEsol) for a relaxed Na2GeCl crystal.

Lattice parameters (Å, degrees): 5.144 5.144 5.144 60.00 60.00 60.00
Element x y z (fractional)
Cl1 0.000 0.000 0.000
Na1 0.750 0.750 0.750
Na2 0.250 0.250 0.250
Ge1 0.500 0.500 0.500

## Properties
Energy relative to the elements, uncorrected, eV per atom: -0.2168


No. 21
Density functional theory data (GGA-PBEsol) for a relaxed NaGeCl2 crystal.

Lattice parameters (Å, degrees): 4.874 4.874 4.874 60.00 60.00 60.00
Element x y z (fractional)
Cl1 0.250 0.250 0.250
Cl2 0.750 0.750 0.750
Na1 0.000 0.000 0.000
Ge1 0.500 0.500 0.500

## Properties
Energy relative to the elements, uncorrected, eV per atom: -0.6473


No. 22
Density functional theory data (GGA-PBEsol) for a relaxed NaGeS2Cl crystal.

Lattice parameters (Å, degrees): 4.891 4.788 4.788 90.00 90.00 90.00
Element x y z (fractional)
Cl1 0.500 0.000 0.000
Na1 0.000 0.000 0.000
Ge1 0.500 0.500 0.500
S1 0.000 0.000 0.500
S2 0.000 0.500 0.000

## Properties
Energy relative to the elements, uncorrected, eV per atom: 0.4598


No. 23
Density functional theory data (GGA-PBEsol) for a relaxed NiGe3Cl crystal.

Lattice parameters (Å, degrees): 4.574 4.574 4.574 90.00 90.00 90.00
Element x y z (fractional)
Ge1 0.000 0.500 0.000
Ge2 0.000 0.000 0.500
Ge3 0.500 0.000 0.000
Cl1 0.500 0.500 0.500
Ni1 0.000 0.000 0.000

## Properties
Energy relative to the elements, uncorrected, eV per atom: 0.0863


No. 24
Density functional theory data (GGA-PBEsol) for a relaxed NiGeS2Cl crystal.

Lattice parameters (Å, degrees): 4.647 4.647 4.664 90.00 90.00 90.00
Element x y z (fractional)
S1 0.000 0.500 0.000
S2 0.500 0.000 0.000
Cl1 0.000 0.000 0.500
Ni1 0.500 0.500 0.500
Ge1 0.000 0.000 0.000

## Properties
Energy relative to the elements, uncorrected, eV per atom: 0.6241


No. 25
Density functional theory data (GGA-PBEsol) for a relaxed GeOs2Cl crystal.

Lattice parameters (Å, degrees): 4.302 4.302 4.302 60.00 60.00 60.00
Element x y z (fractional)
Os1 0.750 0.750 0.750
Os2 0.250 0.250 0.250
Cl1 0.000 0.000 0.000
Ge1 0.500 0.500 0.500

## Properties
Energy relative to the elements, uncorrected, eV per atom: 0.9285


No. 26
Density functional theory data (GGA-PBEsol) for a relaxed Ge2OsRuCl crystal.

Lattice parameters (Å, degrees): 4.668 4.668 4.818 90.00 90.00 90.00
Element x y z (fractional)
Ru1 0.500 0.500 0.500
Cl1 0.000 0.000 0.500
Ge1 0.500 0.000 0.000
Ge2 0.000 0.500 0.000
Os1 0.000 0.000 0.000

## Properties
Energy relative to the elements, uncorrected, eV per atom: 1.3014


No. 27
Density functional theory data (GGA-PBEsol) for a relaxed GePCl3 crystal.

Lattice parameters (Å, degrees): 4.796 4.796 4.796 90.00 90.00 90.00
Element x y z (fractional)
Cl1 0.000 0.500 0.000
Cl2 0.500 0.000 0.000
Cl3 0.000 0.000 0.500
Ge1 0.500 0.500 0.500
P1 0.000 0.000 0.000

## Properties
Energy relative to the elements, uncorrected, eV per atom: 0.1697


No. 28
Density functional theory data (GGA-PBEsol) for a relaxed GeP2PdCl crystal.

Lattice parameters (Å, degrees): 4.613 4.613 4.790 90.00 90.00 90.00
Element x y z (fractional)
Ge1 0.500 0.500 0.500
P1 0.500 0.000 0.000
P2 0.000 0.500 0.000
Pd1 0.000 0.000 0.000
Cl1 0.000 0.000 0.500

## Properties
Energy relative to the elements, uncorrected, eV per atom: 0.5732


No. 29
Density functional theory data (GGA-PBEsol) for a relaxed GePS2Cl crystal.

Lattice parameters (Å, degrees): 4.520 4.520 5.018 90.00 90.00 90.00
Element x y z (fractional)
Ge1 0.000 0.000 0.000
S1 0.000 0.500 0.000
S2 0.500 0.000 0.000
Cl1 0.500 0.500 0.500
P1 0.000 0.000 0.500

## Properties
Energy relative to the elements, uncorrected, eV per atom: 0.7065